DFT (PBE+U) results for crystalline Fe8O9 at its relaxed geometry.

The structure in extended XYZ format:
```
17
Lattice="5.309 0.000 0.000 0.777 5.294 0.000 1.728 0.663 6.541" Properties=species:S:1:pos:R:3 pbc="T T T"
Fe 0.849 0.758 1.873
Fe 2.609 2.245 5.440
Fe 2.631 3.198 2.499
Fe 4.298 4.794 6.029
Fe 3.516 1.163 0.512
Fe 5.183 2.759 4.042
Fe 5.206 3.712 1.101
Fe 6.965 5.199 4.668
O 0.000 0.000 0.000
O 1.586 1.715 3.627
O 1.749 2.466 0.745
O 3.432 3.824 4.291
O 3.317 4.796 1.404
O 4.498 1.161 5.137
O 4.382 2.133 2.250
O 6.066 3.491 5.796
O 6.228 4.242 2.914
```

Summary:
energy above the most stable polymorph in this dataset	18	meV/atom
volume	183.85	Å³ per cell